4
Lattice="4.573 0.000 0.000 0.000 5.890 0.213 0.000 2.758 5.213" Properties=species:S:1:pos:R:3 comment="K2CrP PBE relaxed" e_tot_ev_per_atom=-4.27 e_form_ev_per_atom=0.041 pbc="T T T"
Cr 2.287 5.406 3.392
K 0.000 8.287 5.200
K 2.287 2.523 1.582
P 0.000 5.404 3.391